Record 1
This record from the Alexandria database describes crystalline ReBAs2Se at its relaxed geometry. The functional is GGA-PBE.

Lattice parameters (Å, degrees): 4.7194 4.7194 5.2893 90.00 90.00 90.00
Each line ends with the local moment (μB).
Element x y z (fractional)
Re 0.0000 0.0000 0.0000  0.26
As 0.0000 0.5000 0.0000  -0.01
As 0.5000 0.0000 0.0000  -0.01
B 0.5000 0.5000 0.5000  0.01
Se 0.0000 0.0000 0.5000  0.03

Properties
SG = P4/mmm, No. 123
crystal system = tetragonal
raw formation energy = 1422.5 meV/atom



Record 2
This record from the Alexandria database describes crystalline ReBAsSe2 at its relaxed geometry. The functional is GGA-PBE.

Lattice parameters (Å, degrees): 4.9200 4.9200 4.7906 90.00 90.00 90.00
Element x y z (fractional)
Re 0.0000 0.0000 0.0000
As 0.0000 0.0000 0.5000
B 0.5000 0.5000 0.5000
Se 0.0000 0.5000 0.0000
Se 0.5000 0.0000 0.0000

Properties
SG = P4/mmm, No. 123
crystal system = tetragonal
raw formation energy = 1396.3 meV/atom